This record from the Alexandria database describes an optimized crystal structure of HoCuO2. The functional is GGA-PBEsol.

Calculated values
- crystal system = trigonal
- final energy (eV per cell) = -29.41
- formation energy (no corrections) (meV/atom) = -2407

Unit cell a=5.987 b=5.987 c=5.987 alpha=33.79 beta=33.79 gamma=33.79
Positions (direct):
Ho (0.000, 0.000, 0.000)
Cu (0.500, 0.500, 0.500)
O (0.393, 0.393, 0.393)
O (0.607, 0.607, 0.607)